DFT (PBE) results for a relaxed Hf3BS crystal.

## Properties
The uncorrected formation energy is -0.2 kJ/mol of atoms. The calculation puts the relative energy among the computed polymorphs at 4.02 eV/f.u. Its volume is 18.796 Å³ per atom. Its space group is Pm-3m, No. 221.

Unit cell a=4.547 b=4.547 c=4.547 alpha=90.00 beta=90.00 gamma=90.00
Element x y z (fractional)
S  0.500  0.500  0.500
Hf  0.500  0.000  0.000
Hf  0.000  0.500  0.000
Hf  0.000  0.000  0.500
B  0.000  0.000  0.000


DFT (PBE) results for a relaxed PuGaH2O6 crystal.

## Properties
Its volume is 11.269 Å³ per atom. The total energy comes out at -0.521 Ry per atom. Its space group is P-1, No. 2.

Unit cell a=5.185 b=5.482 c=5.508 alpha=63.89 beta=62.15 gamma=57.25
Last column: magnetic moment on the atom in μB.
Element x y z (fractional)
O  0.183  0.907  0.323  -0.02
O  0.951  0.560  0.293  -0.08
O  0.449  0.725  0.780  -0.02
H  0.380  0.723  0.335  0.00
H  0.253  0.910  0.768  0.00
O  0.681  0.073  0.810  -0.08
Pu  0.316  0.316  0.051  1.39
O  0.561  0.179  0.296  -0.08
O  0.072  0.454  0.807  -0.08
Ga  0.816  0.816  0.551  -0.01


DFT (PBE) results for a relaxed BaAcAgO3 crystal.

## Properties
The uncorrected formation energy is -214.6 kJ/mol of atoms. Its volume is 22.425 Å³ per atom. Its space group is Cmcm, No. 63.

Unit cell a=4.114 b=7.515 c=9.050 alpha=90.00 beta=90.00 gamma=105.89
Element x y z (fractional)
O  0.609  0.219  0.476
Ag  0.382  0.763  0.750
Ac  0.000  0.000  0.000
Ag  0.618  0.237  0.250
O  0.609  0.219  0.024
O  0.073  0.145  0.750
Ac  0.000  0.000  0.500
O  0.391  0.781  0.976
O  0.927  0.855  0.250
O  0.391  0.781  0.524
Ba  0.321  0.641  0.250
Ba  0.679  0.359  0.750


DFT (PBE) results for a relaxed Sr2InSn4Pt3 crystal.

## Properties
For the formation enthalpy at 0 K, the calculation gives -0.677 eV/atom. Its volume is 24.659 Å³ per atom. Its space group is P-4m2, No. 115.

Unit cell a=4.622 b=4.622 c=11.545 alpha=90.00 beta=90.00 gamma=90.00
Element x y z (fractional)
Sn  0.000  0.000  0.000
Sn  0.500  0.500  0.000
In  0.500  0.500  0.500
Sn  0.500  0.000  0.646
Pt  0.000  0.500  0.124
Pt  0.500  0.000  0.876
Sr  0.000  0.500  0.753
Sr  0.500  0.000  0.247
Sn  0.000  0.500  0.354
Pt  0.000  0.000  0.500